A plane-wave DFT calculation with PBE was carried out for a relaxed structure of RbNaH2I.

Its energy is -10.587 eV/cell.

It has space group P4/mmm (No. 123), with a = 4.848 Å, b = 4.848 Å, c = 9.930 Å, α = 90.00°, β = 90.00° and γ = 90.00°. The asymmetric unit holds Rb at (0.000, 0.000, 0.000), Na at (0.000, 0.000, 0.500), H at (0.000, 0.500, 0.500) and I at (0.500, 0.500, 0.000).

---

A plane-wave DFT calculation with PBE was carried out for a relaxed structure of Li2ZrTe.

Its energy relative to the elements, uncorrected is -0.122 eV/atom.

It has space group C2/m (No. 12), with a = 5.701 Å, b = 10.465 Å, c = 3.119 Å, α = 90.00°, β = 110.26° and γ = 90.00°. The asymmetric unit holds Li at (0.250, 0.250, 0.000), Zr at (0.000, 0.000, 0.500) and Te at (0.000, 0.500, 0.500).

---

A plane-wave DFT calculation with PBE was carried out for a relaxed structure of CaHgI2.

For the offset from the most stable computed form, the calculation gives 0.155 eV per atom. Its energy relative to the elements, uncorrected is -1.034 eV/atom.

It has space group P4/mmm (No. 123), with a = 3.951 Å, b = 3.951 Å, c = 10.322 Å, α = 90.00°, β = 90.00° and γ = 90.00°. The asymmetric unit holds Ca at (0.000, 0.000, 0.000), Hg at (0.000, 0.000, 0.500) and I at (0.500, 0.500, 0.180).

---

A plane-wave DFT calculation with PBE was carried out for a relaxed structure of CsNdH.

Its energy is -33.756 eV/cell.

It has space group Amm2 (No. 38), with a = 15.027 Å, b = 3.827 Å, c = 6.626 Å, α = 90.00°, β = 90.00° and γ = 90.00°. The asymmetric unit holds Cs at (0.131, 0.000, 0.000), Nd at (0.394, 0.000, 0.343), H at (0.000, 0.000, 0.333) and H at (0.500, 0.000, 0.010).

---

Number 1: Fermi-level density of states 1.27 states/eV/f.u.. Number 2: Fermi-level density of states 2.16 states/eV/f.u.. Number 3: Fermi-level density of states 0.00 states/eV/f.u.. Number 4: Fermi-level density of states 1.60 states/eV/f.u..